[1]
## KLaPt2 (PBE)

Data for a relaxed structure of KLaPt2.

a b c (Å): 8.203 8.203 8.203
angles (deg): 29.87 29.87 29.87
Fractional positions:
K: 0.250 0.250 0.250
La: 0.750 0.750 0.750
Pt: 0.014 0.014 0.014
Pt: 0.486 0.486 0.486

- electronic total energy (eV per formula unit) = -20.30
- D(E_F) (states/eV/f.u.) = 0.1
- formation energy from the elements (eV per atom) = -0.547
- magnetic moment (μB per cell) = 0.0

=====

[2]
## ReTcSe2N (PBE)

Data for a relaxed structure of ReTcSe2N.

a b c (Å): 5.065 5.065 3.719
angles (deg): 90.00 90.00 90.00
Fractional positions:
Re: 0.000 0.000 0.000
Tc: 0.500 0.500 0.500
Se: 0.000 0.500 0.000
Se: 0.500 0.000 0.000
N: 0.000 0.000 0.500

- electronic total energy (eV per formula unit) = -34.02
- offset from the most stable computed form (meV/atom) = 0
- D(E_F) (states/eV/f.u.) = 3.0
- formation energy (no corrections) (meV/atom) = 818
- magnetic moment (μB per cell) = 3.5

=====

[3]
## KSrTiCo2 (PBE)

Data for a relaxed structure of KSrTiCo2.

a b c (Å): 4.558 5.490 4.558
angles (deg): 90.00 90.00 90.00
Fractional positions:
Sr: 0.500 0.500 0.500
K: 0.000 0.500 0.000
Co: 0.000 0.000 0.500
Co: 0.500 0.000 0.000
Ti: 0.000 0.000 0.000

- electronic total energy (eV per formula unit) = -20.37
- D(E_F) (states/eV/f.u.) = 6.4
- formation energy from the elements (eV per atom) = 0.904
- magnetic moment (μB per cell) = 0.0

=====

[4]
## NpTi3 (PBE)

Data for a relaxed structure of NpTi3.

a b c (Å): 4.173 4.173 5.104
angles (deg): 114.13 114.13 90.00
Fractional positions:
Np: 0.000 0.000 0.000
Ti: 0.750 0.250 0.500
Ti: 0.250 0.750 0.500
Ti: 0.500 0.500 0.000

- electronic total energy (eV per formula unit) = -35.80
- offset from the most stable computed form (meV/atom) = 47
- D(E_F) (states/eV/f.u.) = 7.5
- formation energy from the elements (eV per atom) = 0.205
- magnetic moment (μB per cell) = 4.1

=====

[5]
## Ac2GaSe (PBE)

Data for a relaxed structure of Ac2GaSe.

a b c (Å): 4.408 4.627 12.739
angles (deg): 100.46 90.00 90.00
Fractional positions:
Ac: 0.750 0.682 0.364
Ac: 0.250 0.318 0.636
Ac: 0.750 0.933 0.867
Ac: 0.250 0.067 0.133
Ga: 0.250 0.466 0.933
Ga: 0.750 0.534 0.067
Se: 0.250 0.193 0.385
Se: 0.750 0.807 0.615

- electronic total energy (eV per formula unit) = -19.47
- offset from the most stable computed form (meV/atom) = 0
- D(E_F) (states/eV/f.u.) = 3.2
- formation energy (no corrections) (meV/atom) = -1184
- magnetic moment (μB per cell) = 0.0

=====

[6]
## Ho2SbC (PBE)

Data for a relaxed structure of Ho2SbC.

a b c (Å): 3.655 3.655 7.812
angles (deg): 76.47 76.47 60.00
Fractional positions:
Sb: 0.500 0.500 0.500
C: 0.000 0.000 0.000
Ho: 0.275 0.275 0.176
Ho: 0.725 0.725 0.824

- electronic total energy (eV per formula unit) = -25.15
- D(E_F) (states/eV/f.u.) = 0.9
- formation energy (no corrections) (meV/atom) = -663
- magnetic moment (μB per cell) = 0.0

=====

[7]
## Cd2MoPb (PBE)

Data for a relaxed structure of Cd2MoPb.

a b c (Å): 3.013 3.013 9.793
angles (deg): 90.00 90.00 90.09
Fractional positions:
Cd: 0.000 0.000 0.038
Cd: 0.000 0.000 0.462
Mo: 0.500 0.500 0.250
Pb: 0.500 0.500 0.750

- electronic total energy (eV per formula unit) = -14.68
- D(E_F) (states/eV/f.u.) = 2.9
- formation energy from the elements (eV per atom) = 0.422
- magnetic moment (μB per cell) = 0.0

=====

[8]
## Dy2ThOs (PBE)

Data for a relaxed structure of Dy2ThOs.

a b c (Å): 3.434 3.434 8.979
angles (deg): 90.00 90.00 90.00
Fractional positions:
Os: 0.500 0.500 0.000
Th: 0.500 0.500 0.500
Dy: 0.000 0.000 0.816
Dy: 0.000 0.000 0.184

- electronic total energy (eV per formula unit) = -28.12
- offset from the most stable computed form (meV/atom) = 203
- D(E_F) (states/eV/f.u.) = 4.2
- formation energy from the elements (eV per atom) = -0.065
- magnetic moment (μB per cell) = 0.0